Record 1
! Ce4AlFe (GGA-PBE, optimized geometry); values from VASP
&SYSTEM
  ibrav = 0, nat = 12, ntyp = 3
/
ATOMIC_SPECIES
Ce 140.12 Ce.upf
Al 26.98 Al.upf
Fe 55.84 Fe.upf
ATOMIC_POSITIONS crystal
Ce 0.086 0.696 0.897
Ce 0.182 0.352 0.675
Ce 0.304 0.914 0.603
Ce 0.352 0.182 0.175
Ce 0.648 0.818 0.825
Ce 0.696 0.086 0.397
Ce 0.818 0.648 0.325
Ce 0.914 0.304 0.103
Al 0.385 0.615 0.250
Al 0.615 0.385 0.750
Fe 0.022 0.978 0.250
Fe 0.978 0.022 0.750
CELL_PARAMETERS angstrom
4.001 -6.480 0.000
4.001 6.480 0.000
-1.755 0.000 5.339
! * space-group type: No. 15
! * E: -72.97 eV for the cell shown
! * energy of formation from the pure elements: -0.09 eV per atom
! * calculated volume: 23.06 A^3/atom
! * theoretical density: 7.72 g/cm³


Record 2
! Pm2DyCo2 (GGA-PBE, optimized geometry); values from VASP
&SYSTEM
  ibrav = 0, nat = 10, ntyp = 3
/
ATOMIC_SPECIES
Pm 145.00 Pm.upf
Dy 162.50 Dy.upf
Co 58.93 Co.upf
ATOMIC_POSITIONS crystal
Pm 0.033 0.033 0.193
Pm 0.164 0.164 0.573
Pm 0.836 0.836 0.427
Pm 0.967 0.967 0.807
Dy 0.283 0.283 0.137
Dy 0.717 0.717 0.863
Co 0.395 0.395 0.958
Co 0.491 0.491 0.606
Co 0.509 0.509 0.394
Co 0.605 0.605 0.042
CELL_PARAMETERS angstrom
6.281 -1.938 0.000
6.281 1.938 0.000
-5.637 0.000 9.517
! * excess energy over the best structure of this formula in the dataset: 0.000 eV per atom
! * space-group type: No. 12
! * E: -57.40 eV for the cell shown
! * energy of formation from the pure elements: -0.08 eV per atom
! * calculated volume: 23.17 A^3/atom
! * theoretical density: 8.17 g/cm³


Record 3
! La7Nd12Er (GGA-PBE, optimized geometry); values from VASP
&SYSTEM
  ibrav = 0, nat = 20, ntyp = 3
/
ATOMIC_SPECIES
La 138.91 La.upf
Nd 144.24 Nd.upf
Er 167.26 Er.upf
ATOMIC_POSITIONS crystal
La 0.000 0.000 0.000
La 0.072 0.417 0.417
La 0.417 0.072 0.417
La 0.417 0.417 0.072
La 0.583 0.583 0.928
La 0.583 0.928 0.583
La 0.928 0.583 0.583
Nd 0.000 0.285 0.715
Nd 0.000 0.715 0.285
Nd 0.163 0.163 0.488
Nd 0.163 0.488 0.163
Nd 0.285 0.000 0.715
Nd 0.285 0.715 0.000
Nd 0.488 0.163 0.163
Nd 0.512 0.837 0.837
Nd 0.715 0.000 0.285
Nd 0.715 0.285 0.000
Nd 0.837 0.512 0.837
Nd 0.837 0.837 0.512
Er 0.500 0.500 0.500
CELL_PARAMETERS angstrom
8.711 5.029 2.772
-8.711 5.029 2.772
0.000 -10.059 2.772
! * excess energy over the best structure of this formula in the dataset: 0.000 eV per atom
! * space-group type: No. 166
! * E: -92.64 eV for the cell shown
! * energy of formation from the pure elements: 0.18 eV per atom
! * calculated volume: 36.44 A^3/atom
! * theoretical density: 6.54 g/cm³


Record 4
! Li3YIn2 (GGA-PBE, optimized geometry); values from VASP
&SYSTEM
  ibrav = 0, nat = 12, ntyp = 3
/
ATOMIC_SPECIES
Li 6.94 Li.upf
Y 88.91 Y.upf
In 114.82 In.upf
ATOMIC_POSITIONS crystal
Li 0.047 0.047 0.384
Li 0.261 0.261 0.431
Li 0.411 0.411 0.313
Li 0.589 0.589 0.687
Li 0.739 0.739 0.569
Li 0.953 0.953 0.616
Y 0.135 0.135 0.008
Y 0.865 0.865 0.992
In 0.209 0.209 0.735
In 0.438 0.438 0.802
In 0.562 0.562 0.198
In 0.791 0.791 0.265
CELL_PARAMETERS angstrom
7.105 -2.309 0.000
7.105 2.309 0.000
-4.706 0.000 7.924
! * space-group type: No. 12
! * E: -39.11 eV for the cell shown
! * energy of formation from the pure elements: -0.31 eV per atom
! * calculated volume: 21.66 A^3/atom
! * theoretical density: 4.34 g/cm³


Record 5
! BiHS2 (GGA-PBE, optimized geometry); values from VASP
&SYSTEM
  ibrav = 0, nat = 8, ntyp = 3
/
ATOMIC_SPECIES
Bi 208.98 Bi.upf
H 1.01 H.upf
S 32.06 S.upf
ATOMIC_POSITIONS crystal
Bi 0.000 0.000 0.000
Bi 0.750 0.250 0.500
H 0.250 0.750 0.500
H 0.500 0.500 0.000
S 0.217 0.625 0.092
S 0.375 0.467 0.592
S 0.533 0.125 0.908
S 0.875 0.783 0.408
CELL_PARAMETERS angstrom
-2.844 2.844 5.229
2.844 -2.844 5.229
2.844 2.844 -5.229
! * excess energy over the best structure of this formula in the dataset: 0.581 eV per atom
! * space-group type: No. 122
! * E: -28.42 eV for the cell shown
! * calculated volume: 21.15 A^3/atom
! * theoretical density: 5.38 g/cm³


Record 6
! PaCu2Au (GGA-PBE, optimized geometry); values from VASP
&SYSTEM
  ibrav = 0, nat = 8, ntyp = 3
/
ATOMIC_SPECIES
Pa 231.04 Pa.upf
Cu 63.55 Cu.upf
Au 196.97 Au.upf
ATOMIC_POSITIONS crystal
Pa 0.000 0.000 0.000
Pa 0.500 0.148 0.148
Cu 0.000 0.300 0.300
Cu 0.314 0.431 0.431
Cu 0.500 0.867 0.867
Cu 0.686 0.431 0.431
Au 0.202 0.702 0.702
Au 0.798 0.702 0.702
CELL_PARAMETERS angstrom
7.056 0.000 0.000
0.000 2.096 4.806
0.000 -2.096 4.806
! * excess energy over the best structure of this formula in the dataset: 0.000 eV per atom
! * space-group type: No. 38
! * E: -43.27 eV for the cell shown
! * energy of formation from the pure elements: -0.17 eV per atom
! * calculated volume: 17.77 A^3/atom
! * theoretical density: 12.96 g/cm³


Record 7
! SbAs2Au (GGA-PBE, optimized geometry); values from VASP
&SYSTEM
  ibrav = 0, nat = 4, ntyp = 3
/
ATOMIC_SPECIES
Sb 121.76 Sb.upf
As 74.92 As.upf
Au 196.97 Au.upf
ATOMIC_POSITIONS crystal
Sb 0.000 0.000 0.000
As 0.243 0.243 0.243
As 0.757 0.757 0.757
Au 0.500 0.500 0.500
CELL_PARAMETERS angstrom
1.983 1.145 6.504
-1.983 1.145 6.504
0.000 -2.289 6.504
! * space-group type: No. 166
! * raw formation energy: 0.06 eV/atom
! * E: -16.47 eV for the cell shown
! * calculated volume: 22.14 A^3/atom
! * theoretical density: 8.79 g/cm³


Record 8
! KSr2Mn (GGA-PBE, optimized geometry); values from VASP
&SYSTEM
  ibrav = 0, nat = 4, ntyp = 3
/
ATOMIC_SPECIES
K 39.10 K.upf
Sr 87.62 Sr.upf
Mn 54.94 Mn.upf
ATOMIC_POSITIONS crystal
K 0.000 0.000 0.000
Sr 0.500 0.500 0.000
Sr 0.750 0.250 0.500
Mn 0.250 0.750 0.500
CELL_PARAMETERS angstrom
-2.693 2.693 5.980
2.693 -2.693 5.980
2.693 2.693 -5.980
! * excess energy over the best structure of this formula in the dataset: 0.228 eV per atom
! * space-group type: No. 119
! * E: -11.29 eV for the cell shown
! * energy of formation from the pure elements: 0.58 eV per atom
! * calculated volume: 43.36 A^3/atom
! * theoretical density: 2.58 g/cm³